[1]
This record from Alexandria describes a relaxed Pm8Pr3Nd4 crystal. The functional is PBE.

a = 9.4251 Å, b = 9.4251 Å, c = 6.9506 Å
α = 111.63°, β = 111.63°, γ = 82.16°
With the nearest neighbours (Å) after each atom.
Fractional coordinates of all 15 atoms:
1 Pm 0.2021 0.2021 0.2023  4 Pm 3.52-3.54, 2 Pr 3.60, 3 Nd 3.60-3.69
2 Pm 0.2016 0.7984 0.0000  4 Pm 3.53-3.54, 3 Nd 3.60-3.70, 2 Pr 3.60
3 Pm 0.2513 0.2513 0.7531  1 Nd 3.08, 1 Pr 3.11
4 Pm 0.2512 0.7488 0.5000  1 Nd 3.08, 1 Pr 3.11
5 Pm 0.7488 0.2512 0.5000  1 Nd 3.08, 1 Pr 3.11
6 Pm 0.7487 0.7487 0.2469  1 Nd 3.08, 1 Pr 3.11
7 Pm 0.7984 0.2016 0.0000  4 Pm 3.53-3.54, 3 Nd 3.60-3.70, 2 Pr 3.60
8 Pm 0.7979 0.7979 0.7977  4 Pm 3.52-3.54, 2 Pr 3.60, 3 Nd 3.60-3.69
9 Pr 0.0000 0.0000 0.5000  4 Pm 3.11
10 Pr 0.0000 0.5000 0.5000  2 Nd 3.48, 8 Pm 3.55-3.60
11 Pr 0.5000 0.0000 0.5000  2 Nd 3.48, 8 Pm 3.55-3.60
12 Nd 0.0000 0.5000 0.0000  2 Pr 3.48, 8 Pm 3.54-3.60
13 Nd 0.5000 0.0000 0.0000  2 Pr 3.48, 8 Pm 3.54-3.60
14 Nd 0.5000 0.5000 0.0000  2 Pm 3.08
15 Nd 0.5000 0.5000 0.5000  2 Pm 3.08

Values from the calculation:
Volume (Å³/f.u.): 533.51
Formation energy from the elements (eV per atom): 0.3036
Density of states at the Fermi level (states/eV per cell): 26.1

[2]
This record from Alexandria describes a relaxed Pm6Pr3Nd2 crystal. The functional is PBE.

a = 17.3171 Å, b = 17.3171 Å, c = 17.3171 Å
α = 163.80°, β = 163.80°, γ = 22.98°
With the nearest neighbours (Å) after each atom.
Fractional coordinates of all 11 atoms:
1 Pm 0.1200 0.6200 0.5000  6 Pm 3.45-3.53, 2 Nd 3.51, 2 Pr 3.72
2 Pm 0.1953 0.1953 0.0000  5 Pr 3.46, 4 Pm 3.53
3 Pm 0.3800 0.8800 0.5000  6 Pm 3.45-3.53, 2 Nd 3.51, 2 Pr 3.72
4 Pm 0.6200 0.1200 0.5000  6 Pm 3.45-3.53, 2 Nd 3.51, 2 Pr 3.72
5 Pm 0.8047 0.8047 0.0000  5 Pr 3.46, 4 Pm 3.53
6 Pm 0.8800 0.3800 0.5000  6 Pm 3.45-3.53, 2 Nd 3.51, 2 Pr 3.72
7 Pr 0.2973 0.2973 0.0000  9 Pm 3.46-3.72
8 Pr 0.5000 0.5000 0.0000  8 Nd 3.78
9 Pr 0.7027 0.7027 0.0000  9 Pm 3.46-3.72
10 Nd 0.0455 0.0455 0.0000  1 Nd 3.09
11 Nd 0.9545 0.9545 0.0000  1 Nd 3.09

Values from the calculation:
Volume (Å³/f.u.): 403.92
Distance to the lowest polymorph of the same formula (meV per atom): 236
Formation energy from the elements (eV per atom): 0.2493
Density of states at the Fermi level (states/eV per cell): 15.3

[3]
This record from Alexandria describes a relaxed PmPr10Nd4 crystal. The functional is PBE.

a = 9.1893 Å, b = 9.1893 Å, c = 9.1893 Å
α = 101.18°, β = 101.18°, γ = 127.75°
With the nearest neighbours (Å) after each atom.
Fractional coordinates of all 15 atoms:
1 Pm 0.0000 0.0000 0.0000  8 Pr 3.42, 4 Nd 3.76
2 Pr 0.0777 0.2905 0.7872  4 Pr 3.37-3.51, 1 Pm 3.42, 4 Nd 3.55-3.67
3 Pr 0.2500 0.7500 0.5000  4 Pr 3.37
4 Pr 0.2905 0.0777 0.7872  4 Pr 3.37-3.51, 1 Pm 3.42, 4 Nd 3.55-3.67
5 Pr 0.2905 0.5033 0.2128  4 Pr 3.37-3.51, 1 Pm 3.42, 4 Nd 3.55-3.67
6 Pr 0.4967 0.7095 0.7872  4 Pr 3.37-3.51, 1 Pm 3.42, 4 Nd 3.55-3.67
7 Pr 0.5033 0.2905 0.2128  4 Pr 3.37-3.51, 1 Pm 3.42, 4 Nd 3.55-3.67
8 Pr 0.7095 0.4967 0.7872  4 Pr 3.37-3.51, 1 Pm 3.42, 4 Nd 3.55-3.67
9 Pr 0.7095 0.9223 0.2128  4 Pr 3.37-3.51, 1 Pm 3.42, 4 Nd 3.55-3.67
10 Pr 0.7500 0.2500 0.5000  4 Pr 3.37
11 Pr 0.9223 0.7095 0.2128  4 Pr 3.37-3.51, 1 Pm 3.42, 4 Nd 3.55-3.67
12 Nd 0.2276 0.2276 0.4552  8 Pr 3.55-3.67, 1 Pm 3.76
13 Nd 0.2276 0.7724 0.0000  8 Pr 3.55-3.67, 1 Pm 3.76
14 Nd 0.7724 0.2276 0.0000  8 Pr 3.55-3.67, 1 Pm 3.76
15 Nd 0.7724 0.7724 0.5448  8 Pr 3.55-3.67, 1 Pm 3.76

Values from the calculation:
Volume (Å³/f.u.): 550.89
Formation energy from the elements (eV per atom): 0.2203
Density of states at the Fermi level (states/eV per cell): 22.4